Entry 1:
## SiMo2Pt (meta-GGA SCAN)

Data for a PBEsol-optimized structure of SiMo2Pt.

Results
Formation energy (no corrections): -0.164 eV/atom
Crystal system: tetragonal
Symmetry: I-4m2 (119)

Geometry as POSCAR:
```
SiMo2Pt
1.0
-1.914 1.914 3.956
1.914 -1.914 3.956
1.914 1.914 -3.956
Si Mo Pt
1 2 1
direct
0.000 0.000 0.000
0.500 0.500 0.000
0.750 0.250 0.500
0.250 0.750 0.500
```



Entry 2:
## Si2MoPt (meta-GGA SCAN)

Data for a PBEsol-optimized structure of Si2MoPt.

Results
Formation energy (no corrections): -0.186 eV/atom
Crystal system: trigonal
Symmetry: R-3m (166)

Geometry as POSCAR:
```
Si2MoPt
1.0
1.427 0.824 7.978
-1.427 0.824 7.978
0.000 -1.648 7.978
Si Mo Pt
2 1 1
direct
0.250 0.250 0.250
0.750 0.750 0.750
0.000 0.000 0.000
0.500 0.500 0.500
```



Entry 3:
## Ta2SiMoPt (meta-GGA SCAN)

Data for a PBEsol-optimized structure of Ta2SiMoPt.

Results
Formation energy (no corrections): 1.286 eV/atom
Crystal system: tetragonal
Symmetry: P4/mmm (123)

Geometry as POSCAR:
```
Ta2SiMoPt
1.0
4.744 0.000 0.000
0.000 4.744 0.000
0.000 0.000 4.483
Ta Si Mo Pt
2 1 1 1
direct
0.000 0.500 0.000
0.500 0.000 0.000
0.000 0.000 0.500
0.000 0.000 0.000
0.500 0.500 0.500
```



Entry 4:
## SnMo3Pt (meta-GGA SCAN)

Data for a PBEsol-optimized structure of SnMo3Pt.

Results
Crystal system: cubic
Symmetry: Pm-3m (221)

Geometry as POSCAR:
```
SnMo3Pt
1.0
4.749 0.000 0.000
0.000 4.749 0.000
0.000 0.000 4.749
Sn Mo Pt
1 3 1
direct
0.000 0.000 0.000
0.000 0.000 0.500
0.000 0.500 0.000
0.500 0.000 0.000
0.500 0.500 0.500
```



Entry 5:
## TaMoPt2 (meta-GGA SCAN)

Data for a PBEsol-optimized structure of TaMoPt2.

Results
Excess energy over the best structure of this formula in the dataset: 29 meV per atom
Crystal system: orthorhombic
Symmetry: Cmmm (65)

Geometry as POSCAR:
```
TaMoPt2
1.0
2.741 -4.066 0.000
2.741 4.066 0.000
0.000 0.000 2.753
Ta Mo Pt
1 1 2
direct
0.000 0.000 0.000
0.500 0.500 0.000
0.000 0.500 0.500
0.500 0.000 0.500
```



Entry 6:
## TaMoPt2 (meta-GGA SCAN)

Data for a PBEsol-optimized structure of TaMoPt2.

Results
Excess energy over the best structure of this formula in the dataset: 8 meV per atom
Crystal system: orthorhombic
Symmetry: Pmm2 (25)

Geometry as POSCAR:
```
TaMoPt2
1.0
2.758 0.000 0.000
0.000 4.506 0.000
0.000 0.000 4.941
Ta Mo Pt
1 1 2
direct
0.000 0.000 0.000
0.000 0.500 0.658
0.500 0.000 0.506
0.500 0.500 0.168
```



Entry 7:
## TaMo2Pt (meta-GGA SCAN)

Data for a PBEsol-optimized structure of TaMo2Pt.

Results
Excess energy over the best structure of this formula in the dataset: 107 meV per atom
Crystal system: monoclinic
Symmetry: P2/m (10)

Geometry as POSCAR:
```
TaMo2Pt
1.0
2.694 0.000 0.000
0.000 4.551 0.000
-0.842 0.000 5.123
Ta Mo Pt
1 2 1
direct
0.000 0.000 0.000
0.237 0.500 0.756
0.763 0.500 0.244
0.500 0.000 0.500
```



Entry 8:
## TaMo2Pt (meta-GGA SCAN)

Data for a PBEsol-optimized structure of TaMo2Pt.

Results
Excess energy over the best structure of this formula in the dataset: 62 meV per atom
Crystal system: tetragonal
Symmetry: I4/mmm (139)

Geometry as POSCAR:
```
TaMo2Pt
1.0
-1.952 1.952 4.129
1.952 -1.952 4.129
1.952 1.952 -4.129
Ta Mo Pt
1 2 1
direct
0.000 0.000 0.000
0.250 0.750 0.500
0.750 0.250 0.500
0.500 0.500 0.000
```



Entry 9:
## TaMoPt2 (meta-GGA SCAN)

Data for a PBEsol-optimized structure of TaMoPt2.

Results
Excess energy over the best structure of this formula in the dataset: 3 meV per atom
Crystal system: tetragonal
Symmetry: I4/mmm (139)

Geometry as POSCAR:
```
TaMoPt2
1.0
-1.937 1.937 4.086
1.937 -1.937 4.086
1.937 1.937 -4.086
Ta Mo Pt
1 1 2
direct
0.000 0.000 0.000
0.500 0.500 0.000
0.250 0.750 0.500
0.750 0.250 0.500
```



Entry 10:
## TaMo2Pt (meta-GGA SCAN)

Data for a PBEsol-optimized structure of TaMo2Pt.

Results
Excess energy over the best structure of this formula in the dataset: 0 meV per atom
Crystal system: tetragonal
Symmetry: P4mm (99)

Geometry as POSCAR:
```
TaMo2Pt
1.0
3.242 0.000 0.000
0.000 3.242 0.000
0.000 0.000 6.028
Ta Mo Pt
1 2 1
direct
0.000 0.000 0.000
0.000 0.000 0.484
0.500 0.500 0.259
0.500 0.500 0.758
```



Entry 11:
## TaMoPt (meta-GGA SCAN)

Data for a PBEsol-optimized structure of TaMoPt.

Results
Crystal system: trigonal
Symmetry: P3m1 (156)

Geometry as POSCAR:
```
TaMoPt
1.0
2.793 0.000 0.000
-1.396 2.419 0.000
0.000 0.000 7.091
Ta Mo Pt
1 1 1
direct
0.000 0.000 0.000
0.333 0.667 0.648
0.667 0.333 0.326
```



Entry 12:
## TaMoPt2 (meta-GGA SCAN)

Data for a PBEsol-optimized structure of TaMoPt2.

Results
Excess energy over the best structure of this formula in the dataset: 232 meV per atom
Crystal system: tetragonal
Symmetry: P4mm (99)

Geometry as POSCAR:
```
TaMoPt2
1.0
2.760 0.000 0.000
0.000 2.760 0.000
0.000 0.000 8.187
Ta Mo Pt
1 1 2
direct
0.000 0.000 0.000
0.500 0.500 0.269
0.000 0.000 0.500
0.500 0.500 0.758
```



Entry 13:
## TaMoPt2 (meta-GGA SCAN)

Data for a PBEsol-optimized structure of TaMoPt2.

Results
Excess energy over the best structure of this formula in the dataset: 31 meV per atom
Crystal system: orthorhombic
Symmetry: Pmmm (47)

Geometry as POSCAR:
```
TaMoPt2
1.0
2.747 0.000 0.000
0.000 4.071 0.000
0.000 0.000 5.489
Ta Mo Pt
1 1 2
direct
0.000 0.000 0.000
0.000 0.000 0.500
0.500 0.500 0.254
0.500 0.500 0.746
```



Entry 14:
## TaMoPt2 (meta-GGA SCAN)

Data for a PBEsol-optimized structure of TaMoPt2.

Results
Excess energy over the best structure of this formula in the dataset: 0 meV per atom
Crystal system: tetragonal
Symmetry: P4/mmm (123)

Geometry as POSCAR:
```
TaMoPt2
1.0
3.876 0.000 0.000
0.000 3.876 0.000
0.000 0.000 4.083
Ta Mo Pt
1 1 2
direct
0.000 0.000 0.000
0.500 0.500 0.000
0.000 0.500 0.500
0.500 0.000 0.500
```



Entry 15:
## TcMo2Pt (meta-GGA SCAN)

Data for a PBEsol-optimized structure of TcMo2Pt.

Results
Excess energy over the best structure of this formula in the dataset: 212 meV per atom
Crystal system: tetragonal
Symmetry: P4/mmm (123)

Geometry as POSCAR:
```
TcMo2Pt
1.0
3.281 0.000 0.000
0.000 3.281 0.000
0.000 0.000 5.570
Tc Mo Pt
1 2 1
direct
0.000 0.000 0.000
0.500 0.500 0.244
0.500 0.500 0.756
0.000 0.000 0.500
```



Entry 16:
## TcMo2Pt (meta-GGA SCAN)

Data for a PBEsol-optimized structure of TcMo2Pt.

Results
Excess energy over the best structure of this formula in the dataset: 20 meV per atom
Crystal system: tetragonal
Symmetry: I4/mmm (139)

Geometry as POSCAR:
```
TcMo2Pt
1.0
-1.953 1.953 3.864
1.953 -1.953 3.864
1.953 1.953 -3.864
Tc Mo Pt
1 2 1
direct
0.000 0.000 0.000
0.250 0.750 0.500
0.750 0.250 0.500
0.500 0.500 0.000
```



Entry 17:
## TcMoPt (meta-GGA SCAN)

Data for a PBEsol-optimized structure of TcMoPt.

Results
Excess energy over the best structure of this formula in the dataset: 75 meV per atom
Crystal system: hexagonal
Symmetry: P-6m2 (187)

Geometry as POSCAR:
```
TcMoPt
1.0
4.348 0.000 0.000
-2.174 3.765 0.000
0.000 0.000 2.718
Tc Mo Pt
1 1 1
direct
0.000 0.000 0.000
0.667 0.333 0.000
0.333 0.667 0.500
```



Entry 18:
## TcMo2Pt (meta-GGA SCAN)

Data for a PBEsol-optimized structure of TcMo2Pt.

Results
Excess energy over the best structure of this formula in the dataset: 0 meV per atom
Crystal system: tetragonal
Symmetry: P4/mmm (123)

Geometry as POSCAR:
```
TcMo2Pt
1.0
3.897 0.000 0.000
0.000 3.897 0.000
0.000 0.000 3.873
Tc Mo Pt
1 2 1
direct
0.000 0.000 0.000
0.000 0.500 0.500
0.500 0.000 0.500
0.500 0.500 0.000
```



Entry 19:
## TcMoPt (meta-GGA SCAN)

Data for a PBEsol-optimized structure of TcMoPt.

Results
Excess energy over the best structure of this formula in the dataset: 0 meV per atom
Crystal system: tetragonal
Symmetry: I4mm (107)

Geometry as POSCAR:
```
TcMoPt
1.0
-1.361 1.361 5.925
1.361 -1.361 5.925
1.361 1.361 -5.925
Tc Mo Pt
1 1 1
direct
0.000 0.000 0.000
0.339 0.339 0.000
0.668 0.668 0.000
```



Entry 20:
## Te2MoPt (meta-GGA SCAN)

Data for a PBEsol-optimized structure of Te2MoPt.

Results
Excess energy over the best structure of this formula in the dataset: 184 meV per atom
Formation energy (no corrections): 0.197 eV/atom
Crystal system: tetragonal
Symmetry: P4/mmm (123)

Geometry as POSCAR:
```
Te2MoPt
1.0
3.408 0.000 0.000
0.000 3.408 0.000
0.000 0.000 6.470
Te Mo Pt
2 1 1
direct
0.000 0.000 0.243
0.000 0.000 0.757
0.500 0.500 0.000
0.500 0.500 0.500
```



Total magnetization for every record listed, in sequence, given in μB per atom: 0.00; 0.00; 0.00; 0.00; 0.00; 0.00; 0.00; 0.00; 0.11; 0.00; 0.00; 0.00; 0.00; 0.10; 0.00; 0.00; 0.00; 0.00; 0.00; 0.00.
Electronic total energy for every record listed, in sequence, given in eV/atom: -37.66; -31.46; -48.37; -39.67; -61.08; -61.10; -51.77; -51.82; -61.11; -51.88; -57.31; -60.88; -61.08; -61.11; -43.77; -43.96; -46.77; -43.98; -46.84; -44.70.